Record 1
This record from the Alexandria database describes a geometry-optimized AcAl2Pt structure. The functional is PBE-GGA.

Structure (POSCAR):
```
AcAl2Pt
1.0
16.1657 0.0000 0.0000
0.0000 7.1682 0.0000
0.0000 0.0000 6.2093
Ac Al Pt
8 16 8
Cartesian
1.6549 1.7921 1.2487 Ac
2.1882 5.3762 0.0451 Ac
5.8947 1.7921 3.1497 Ac
6.4279 5.3762 4.3533 Ac
9.7378 1.7921 1.8560 Ac
10.2710 5.3762 3.0595 Ac
13.9775 1.7921 6.1642 Ac
14.5108 5.3762 4.9606 Ac
0.7710 0.4514 4.2527 Al
0.7710 3.1327 4.2527 Al
3.3839 4.0102 3.1611 Al
3.3839 6.7421 3.1611 Al
4.6990 0.4261 0.0565 Al
4.6990 3.1580 0.0565 Al
7.3118 4.0355 1.1480 Al
7.3118 6.7168 1.1480 Al
8.8539 0.4514 5.0613 Al
8.8539 3.1327 5.0613 Al
11.4667 4.0102 6.1528 Al
11.4667 6.7421 6.1528 Al
12.7818 0.4261 3.0482 Al
12.7818 3.1580 3.0482 Al
15.3947 4.0355 1.9566 Al
15.3947 6.7168 1.9566 Al
1.1564 5.3762 3.0862 Pt
3.0170 1.7921 4.5364 Pt
5.0658 5.3762 1.4318 Pt
6.9265 1.7921 6.1909 Pt
9.2392 5.3762 0.0184 Pt
11.0999 1.7921 4.7775 Pt
13.1487 5.3762 1.6729 Pt
15.0093 1.7921 3.1231 Pt
```

Calculated values
**Volume**: 720 Å³/cell
**Distance to the lowest polymorph of the same formula**: 59.2 meV/atom
**Space-group type**: No. 62
**Energy of formation**: -829 meV per atom
**Uncorrected energy**: -5.238 eV/atom
**Total magnetization**: 0.000 μB/atom

Record 2
This record from the Alexandria database describes a geometry-optimized HfSc3Ni2 structure. The functional is PBE-GGA.

Structure (POSCAR):
```
HfSc3Ni2
1.0
4.4675 0.0000 0.0000
0.0000 7.9881 0.0000
0.0000 0.0000 6.2647
Hf Sc Ni
2 6 4
Cartesian
0.0000 0.5948 0.0000 Hf
0.0000 7.3934 3.1323 Hf
0.0000 2.6718 3.9610 Sc
0.0000 5.3163 0.8286 Sc
2.2337 1.3633 2.1339 Sc
2.2337 3.3531 6.0747 Sc
2.2337 4.6350 2.9423 Sc
2.2337 6.6248 5.2662 Sc
0.0000 2.7101 1.3769 Ni
0.0000 5.2780 4.5093 Ni
2.2337 1.1781 4.7326 Ni
2.2337 6.8101 1.6002 Ni
```

Calculated values
**Volume**: 224 Å³/cell
**Space-group type**: No. 26
**Energy of formation**: -347 meV per atom
**Uncorrected energy**: -7.099 eV/atom
**Total magnetization**: 0.000 μB/atom

Record 3
This record from the Alexandria database describes a geometry-optimized Pm5Sb4Pb structure. The functional is PBE-GGA.

Structure (POSCAR):
```
Pm5Sb4Pb
1.0
-5.0328 5.0328 3.1829
5.0328 -5.0328 3.1829
5.0328 5.0328 -3.1829
Pm Sb Pb
5 4 1
Cartesian
0.0000 0.0000 0.0000 Pm
4.0058 1.9683 0.0000 Pm
3.0645 -1.0270 3.1829 Pm
1.9683 6.0598 0.0000 Pm
1.0270 3.0645 3.1829 Pm
7.0461 1.0118 0.0000 Sb
1.0118 3.0195 0.0000 Sb
4.0210 2.0133 3.1829 Sb
-2.0133 4.0210 3.1829 Sb
0.0000 0.0000 3.1829 Pb
```

Calculated values
**Volume**: 322 Å³/cell
**Distance to the lowest polymorph of the same formula**: 2.2 meV/atom
**Formation energy without anion corrections**: -1.026 eV per atom
**Space-group type**: No. 87
**Uncorrected energy**: -5.421 eV/atom
**Total magnetization**: 0.000 μB/atom

Record 4
This record from the Alexandria database describes a geometry-optimized ZnAsRu2 structure. The functional is PBE-GGA.

Structure (POSCAR):
```
ZnAsRu2
1.0
1.4225 -2.3926 0.0000
1.4225 2.3926 0.0000
0.0000 0.0000 9.1496
Zn As Ru
1 1 2
Cartesian
0.0000 0.0000 0.0000 Zn
1.4225 0.0000 2.6333 As
0.0000 0.0000 4.7889 Ru
1.4225 0.0000 6.9747 Ru
```

Calculated values
**Volume**: 62 Å³/cell
**Distance to the lowest polymorph of the same formula**: 438.3 meV/atom
**Space-group type**: No. 35
**Energy of formation**: 338 meV per atom
**Uncorrected energy**: -5.781 eV/atom
**Total magnetization**: 0.200 μB/atom